TiSbI2O meta-GGA SCAN single point on PBEsol structure; symmetry = No. 123; DOS at the Fermi energy = 0.9853 states/eV/atom; energy relative to the elements, uncorrected = 177 kJ/mol of formula units; M_tot = 1.44 μB per cell; DFT total energy = -131.166 eV/cell
1.0
-2.061 -1.451 -4.614
4.837 -0.573 -1.981
0.044 -5.097 1.583
I Sb O Ti
2 1 1 1
Cartesian
2.418 -0.287 -0.990
-1.031 -0.725 -2.307
0.022 -2.548 0.791
1.410 -3.560 -2.506
0.000 0.000 0.000

TlSbI2O meta-GGA SCAN single point on PBEsol structure; symmetry = No. 123; DOS at the Fermi energy = 0.5100 states/eV/atom; energy relative to the elements, uncorrected = -61 kJ/mol of formula units; M_tot = 0.00 μB per cell; DFT total energy = -189.961 eV/cell; energy above the lowest structure with this stoichiometry = 0.0 meV per atom
1.0
3.993 0.000 0.000
0.000 6.227 0.000
0.000 0.000 6.227
I Sb Tl O
2 1 1 1
Cartesian
0.000 0.000 3.113
0.000 3.113 0.000
1.997 0.000 0.000
1.997 3.113 3.113
0.000 0.000 0.000

TlSbI2O meta-GGA SCAN single point on PBEsol structure; symmetry = No. 123; DOS at the Fermi energy = 2.0792 states/eV/atom; energy relative to the elements, uncorrected = 424 kJ/mol of formula units; M_tot = 3.17 μB per cell; DFT total energy = -184.935 eV/cell; energy above the lowest structure with this stoichiometry = 1005.1 meV per atom
1.0
-2.746 5.008 -0.407
-0.943 -0.037 5.905
5.162 2.899 0.843
I Sb Tl O
2 1 1 1
Cartesian
2.581 1.449 0.421
-0.472 -0.018 2.953
-1.373 2.504 -0.204
0.000 0.000 0.000
0.737 3.935 3.170

YSb2IO meta-GGA SCAN single point on PBEsol structure; symmetry = No. 123; DOS at the Fermi energy = 0.3874 states/eV/atom; energy relative to the elements, uncorrected = -244 kJ/mol of formula units; M_tot = 0.00 μB per cell; DFT total energy = -147.870 eV/cell
1.0
-0.483 -0.421 -4.418
0.628 -4.405 0.351
-5.832 -0.775 0.711
I Sb Y O
1 2 1 1
Cartesian
-2.916 -0.388 0.355
0.314 -2.203 0.176
-0.241 -0.210 -2.209
-2.843 -2.801 -1.678
0.000 0.000 0.000

ScI2O2 meta-GGA SCAN single point on PBEsol structure; symmetry = No. 123; DOS at the Fermi energy = 0.6493 states/eV/atom; energy relative to the elements, uncorrected = -34 kJ/mol of formula units; M_tot = 0.93 μB per cell; DFT total energy = -100.538 eV/cell
1.0
-0.487 -4.069 0.007
3.670 -0.436 1.772
-2.938 0.362 6.173
I Sc O
2 1 2
Cartesian
0.000 0.000 0.000
-1.469 0.181 3.087
0.123 -2.072 3.976
1.835 -0.218 0.886
-0.243 -2.035 0.003

ScSeIO2 meta-GGA SCAN single point on PBEsol structure; symmetry = No. 123; DOS at the Fermi energy = 0.3862 states/eV/atom; energy relative to the elements, uncorrected = -576 kJ/mol of formula units; M_tot = 1.16 μB per cell; DFT total energy = -89.489 eV/cell
1.0
-0.251 -2.688 2.971
3.859 -0.963 -0.546
1.750 4.580 4.291
I Sc O Se
1 1 2 1
Cartesian
0.875 2.290 2.145
0.000 0.000 0.000
1.930 -0.481 -0.273
-0.125 -1.344 1.486
2.679 0.465 3.358

ScSnI2O meta-GGA SCAN single point on PBEsol structure; symmetry = No. 123; DOS at the Fermi energy = 0.6040 states/eV/atom; energy relative to the elements, uncorrected = -156 kJ/mol of formula units; M_tot = 1.70 μB per cell; DFT total energy = -131.492 eV/cell
1.0
-0.557 -3.956 -0.193
1.947 0.005 -5.717
5.655 -0.890 1.925
I Sc Sn O
2 1 1 1
Cartesian
2.828 -0.445 0.962
0.973 0.002 -2.859
3.522 -2.421 -1.993
0.000 0.000 0.000
-0.279 -1.978 -0.096

ScTcI2O meta-GGA SCAN single point on PBEsol structure; symmetry = No. 123; DOS at the Fermi energy = 0.6614 states/eV/atom; energy relative to the elements, uncorrected = -180 kJ/mol of formula units; M_tot = 0.93 μB per cell; DFT total energy = -130.875 eV/cell
1.0
3.696 0.000 0.000
0.000 5.489 0.000
0.000 0.000 5.489
I Sc Tc O
2 1 1 1
Cartesian
0.000 0.000 2.745
0.000 2.745 0.000
1.848 2.745 2.745
0.000 0.000 0.000
1.848 0.000 0.000